Sr2BeAu: relaxed, PBE.

The structure in POSCAR format:
```
Sr2BeAu
1.0
5.1577 0.0000 0.0000
2.5788 4.4667 0.0000
2.5788 1.4889 4.2112
Sr Au Be
2 1 1
direct
0.0000 0.0000 0.0000
0.2500 0.2500 0.2500
0.5000 0.5000 0.5000
0.7500 0.7500 0.7500
```

Properties
ΔH_f (0 K): 138.4 meV per atom
Total magnetization: 0.00 Bohr magnetons per cell
Calculated volume: 24.3 Å³ per atom

---

SrBe4Au8: relaxed, PBE.

The structure in POSCAR format:
```
SrBe4Au8
1.0
4.9169 0.0000 1.9764
2.4585 6.3428 0.9882
0.0929 0.0000 6.8734
Sr Be Au
1 4 8
direct
0.0000 0.0000 0.0000
0.0000 0.0000 0.5000
0.5000 0.0000 0.5000
0.0000 0.5000 0.0000
0.5000 0.5000 0.0000
0.0000 0.3329 0.6671
0.0000 0.6671 0.3329
0.3329 0.6671 0.6671
0.6671 0.3329 0.3329
0.5000 0.7758 0.2242
0.5000 0.2242 0.7758
0.2758 0.2242 0.2242
0.7242 0.7758 0.7758
```

Properties
ΔH_f (0 K): -208.9 meV per atom
Total magnetization: 0.00 Bohr magnetons per cell
Calculated volume: 16.4 Å³ per atom

---

In eV per cell, the VASP energy values for the records above are, in order, -9.8, -45.5.